Material: ZnCdAs2
Method: DFT, SCAN
State: PBEsol geometry

Unit cell a=3.9847 b=3.9847 c=5.5000 alpha=111.24 beta=111.24 gamma=90.00
Closest atoms and distances in Å follow each position.
Fractional positions:
1 As 0.0000 0.0000 0.0000  4 Cd 2.82, 4 As 3.09, 4 Zn 3.09
2 As 0.7500 0.2500 0.5000  4 Zn 2.82, 4 Cd 3.09, 4 As 3.09
3 Zn 0.2500 0.7500 0.5000  8 As 2.82-3.09, 4 Cd 3.09
4 Cd 0.5000 0.5000 0.0000  8 As 2.82-3.09, 4 Zn 3.09

Summary:
Space-group type: I-4m2, No. 119
DFT formation energy in meV/atom: 306
Total energy in eV for the cell shown: -83.1
Polymorph energy (0 for the lowest one) in kcal/mol of atoms: 0.63
Crystal system: tetragonal
V in Å³/cell: 75.0

***

Material: ZnCdAs3
Method: DFT, SCAN
State: PBEsol geometry

Unit cell a=5.0628 b=5.0628 c=5.0628 alpha=90.00 beta=90.00 gamma=90.00
Closest atoms and distances in Å follow each position.
Fractional positions:
1 As 0.5000 0.0000 0.0000  2 Cd 2.53
2 As 0.0000 0.0000 0.5000  2 Cd 2.53
3 As 0.0000 0.5000 0.0000  2 Cd 2.53
4 Zn 0.5000 0.5000 0.5000  12 As 3.58
5 Cd 0.0000 0.0000 0.0000  6 As 2.53

Summary:
Space-group type: Pm-3m, No. 221
DFT formation energy in meV/atom: 1189
Total energy in eV for the cell shown: -98.6
Crystal system: cubic
V in Å³/cell: 129.8

***

Material: ZrCdAs2
Method: DFT, SCAN
State: PBEsol geometry

Unit cell a=3.1247 b=3.1247 c=8.6236 alpha=90.00 beta=90.00 gamma=103.96
Closest atoms and distances in Å follow each position.
Fractional positions:
1 Zr 0.5000 0.5000 0.0000  4 As 2.71
2 As 0.0000 0.0000 0.2205  2 Zr 2.71
3 As 0.0000 0.0000 0.7795  2 Zr 2.71
4 Cd 0.5000 0.5000 0.5000  8 As 3.08-3.45, 4 Cd 3.12

Summary:
Space-group type: Cmmm, No. 65
DFT formation energy in meV/atom: -323
Total energy in eV for the cell shown: -102.8
Crystal system: orthorhombic
V in Å³/cell: 81.7

***

Material: ZrCdAs2
Method: DFT, SCAN
State: PBEsol geometry

Unit cell a=2.9516 b=2.9516 c=9.5536 alpha=90.00 beta=90.00 gamma=100.63
Closest atoms and distances in Å follow each position.
Fractional positions:
1 Zr 0.5000 0.5000 0.2462  4 As 2.77-3.04, 4 Zr 2.95, 2 Cd 3.05
2 As 0.5000 0.5000 0.7225  4 Cd 2.86-3.13, 4 As 2.95
3 As 0.0000 0.0000 0.0344  4 Zr 2.77-3.04, 4 As 2.95
4 Cd 0.0000 0.0000 0.4970  4 As 2.86-3.13, 4 Cd 2.95, 2 Zr 3.05

Summary:
Space-group type: Cmm2, No. 35
DFT formation energy in meV/atom: -107
Total energy in eV for the cell shown: -101.9
Crystal system: orthorhombic
V in Å³/cell: 81.8

***

Material: ZrCdAs2
Method: DFT, SCAN
State: PBEsol geometry

Unit cell a=3.9407 b=4.6733 c=5.1343 alpha=117.07 beta=112.57 gamma=90.00
Closest atoms and distances in Å follow each position.
Fractional positions:
1 Zr 0.0000 0.5000 0.0000  8 As 2.85-3.12, 4 Cd 3.06
2 As 0.2509 0.2509 0.5018  4 Zr 2.85-3.12, 4 Cd 2.86-3.11, 4 As 3.06
3 As 0.7491 0.7491 0.4982  4 Zr 2.85-3.12, 4 Cd 2.86-3.11, 4 As 3.06
4 Cd 0.5000 0.0000 0.0000  8 As 2.86-3.11, 4 Zr 3.06

Summary:
Space-group type: Immm, No. 71
DFT formation energy in meV/atom: -268
Total energy in eV for the cell shown: -102.6
Crystal system: orthorhombic
V in Å³/cell: 76.0

***

Material: Zr2CdAs
Method: DFT, SCAN
State: PBEsol geometry

Unit cell a=4.8407 b=4.8407 c=4.8407 alpha=60.00 beta=60.00 gamma=60.00
Closest atoms and distances in Å follow each position.
Fractional positions:
1 Cd 0.2500 0.2500 0.2500  4 Zr 2.96, 4 As 2.96
2 As 0.5000 0.5000 0.5000  4 Zr 2.96, 4 Cd 2.96
3 Zr 0.0000 0.0000 0.0000  4 Zr 2.96, 4 Cd 2.96
4 Zr 0.7500 0.7500 0.7500  4 Zr 2.96, 4 As 2.96

Summary:
Space-group type: F-43m, No. 216
DFT formation energy in meV/atom: 183
Total energy in eV for the cell shown: -111.3
Polymorph energy (0 for the lowest one) in kcal/mol of atoms: 15.86
Crystal system: cubic
V in Å³/cell: 80.2